! AgRuRh, relaxed, DFT PBE; values from VASP
&SYSTEM
  ibrav = 0, nat = 6, ntyp = 3
/
ATOMIC_SPECIES
Ag 107.87 Ag.upf
Ru 101.07 Ru.upf
Rh 102.91 Rh.upf
CELL_PARAMETERS angstrom
2.7692 0.0000 0.0000
0.0000 3.7826 0.0000
0.0000 0.0000 8.8429
ATOMIC_POSITIONS crystal
Ag 0.0000 0.0000 0.0000
Ag 0.5000 0.5000 0.5000
Ru 0.0000 0.0000 0.3158
Ru 0.5000 0.5000 0.8158
Rh 0.0000 0.0000 0.6844
Rh 0.5000 0.5000 0.1844
! - calculated volume (Å³/cell) = 92.63
! - energy of formation from the pure elements (meV per atom) = 381
! - polymorph energy (0 for the lowest one) (eV/atom) = 0.138
! - E (eV/atom) = -6.11

---

! AgRu2Rh, relaxed, DFT PBE; values from VASP
&SYSTEM
  ibrav = 0, nat = 8, ntyp = 3
/
ATOMIC_SPECIES
Ag 107.87 Ag.upf
Ru 101.07 Ru.upf
Rh 102.91 Rh.upf
CELL_PARAMETERS angstrom
3.8702 0.0000 0.0000
0.0000 3.8702 0.0000
0.0000 0.0000 7.8853
ATOMIC_POSITIONS crystal
Ag 0.0000 0.0000 0.0000
Ag 0.5000 0.5000 0.5000
Ru 0.0000 0.0000 0.5000
Ru 0.0000 0.5000 0.2500
Ru 0.5000 0.0000 0.7500
Ru 0.5000 0.5000 0.0000
Rh 0.0000 0.5000 0.7500
Rh 0.5000 0.0000 0.2500
! - calculated volume (Å³/cell) = 118.11
! - energy of formation from the pure elements (meV per atom) = 435
! - polymorph energy (0 for the lowest one) (eV/atom) = 0.218
! - E (eV/atom) = -6.75

---

! AgRu2Rh, relaxed, DFT PBE; values from VASP
&SYSTEM
  ibrav = 0, nat = 4, ntyp = 3
/
ATOMIC_SPECIES
Ag 107.87 Ag.upf
Ru 101.07 Ru.upf
Rh 102.91 Rh.upf
CELL_PARAMETERS angstrom
3.8611 0.0000 0.0000
0.0000 3.8611 0.0000
0.0000 0.0000 4.0112
ATOMIC_POSITIONS crystal
Ag 0.0000 0.0000 0.0000
Ru 0.0000 0.5000 0.5000
Ru 0.5000 0.0000 0.5000
Rh 0.5000 0.5000 0.0000
! - calculated volume (Å³/cell) = 59.80
! - energy of formation from the pure elements (meV per atom) = 515
! - polymorph energy (0 for the lowest one) (eV/atom) = 0.298
! - E (eV/atom) = -6.67

---

! AgRu2Rh, relaxed, DFT PBE; values from VASP
&SYSTEM
  ibrav = 0, nat = 8, ntyp = 3
/
ATOMIC_SPECIES
Ag 107.87 Ag.upf
Ru 101.07 Ru.upf
Rh 102.91 Rh.upf
CELL_PARAMETERS angstrom
9.1958 0.0000 0.0000
0.0000 2.7345 0.0000
-0.8353 0.0000 4.7301
ATOMIC_POSITIONS crystal
Ag 0.0000 0.0000 0.0000
Ag 0.5000 0.5000 0.0000
Ru 0.2414 0.0000 0.7333
Ru 0.2586 0.5000 0.2667
Ru 0.7414 0.5000 0.7333
Ru 0.7586 0.0000 0.2667
Rh 0.0000 0.5000 0.5000
Rh 0.5000 0.0000 0.5000
! - calculated volume (Å³/cell) = 118.94
! - energy of formation from the pure elements (meV per atom) = 386
! - polymorph energy (0 for the lowest one) (eV/atom) = 0.170
! - E (eV/atom) = -6.80

---

! AgRu2Rh, relaxed, DFT PBE; values from VASP
&SYSTEM
  ibrav = 0, nat = 4, ntyp = 3
/
ATOMIC_SPECIES
Ag 107.87 Ag.upf
Ru 101.07 Ru.upf
Rh 102.91 Rh.upf
CELL_PARAMETERS angstrom
2.7086 0.0000 0.0000
0.0000 3.9612 0.0000
0.0000 0.0000 5.5717
ATOMIC_POSITIONS crystal
Ag 0.0000 0.0000 0.0000
Ru 0.5000 0.5000 0.2715
Ru 0.5000 0.5000 0.7285
Rh 0.0000 0.0000 0.5000
! - calculated volume (Å³/cell) = 59.78
! - energy of formation from the pure elements (meV per atom) = 412
! - polymorph energy (0 for the lowest one) (eV/atom) = 0.195
! - E (eV/atom) = -6.78

---

! AgRu2Rh, relaxed, DFT PBE; values from VASP
&SYSTEM
  ibrav = 0, nat = 16, ntyp = 3
/
ATOMIC_SPECIES
Ag 107.87 Ag.upf
Ru 101.07 Ru.upf
Rh 102.91 Rh.upf
CELL_PARAMETERS angstrom
6.2243 0.0000 0.0000
0.0000 6.2243 0.0000
0.0000 0.0000 6.2243
ATOMIC_POSITIONS crystal
Ag 0.0000 0.0000 0.0000
Ag 0.0000 0.5000 0.5000
Ag 0.5000 0.0000 0.5000
Ag 0.5000 0.5000 0.0000
Ru 0.2500 0.2500 0.2500
Ru 0.2500 0.2500 0.7500
Ru 0.2500 0.7500 0.2500
Ru 0.2500 0.7500 0.7500
Ru 0.7500 0.2500 0.2500
Ru 0.7500 0.2500 0.7500
Ru 0.7500 0.7500 0.2500
Ru 0.7500 0.7500 0.7500
Rh 0.0000 0.0000 0.5000
Rh 0.0000 0.5000 0.0000
Rh 0.5000 0.0000 0.0000
Rh 0.5000 0.5000 0.5000
! - calculated volume (Å³/cell) = 241.15
! - energy of formation from the pure elements (meV per atom) = 699
! - polymorph energy (0 for the lowest one) (eV/atom) = 0.482
! - E (eV/atom) = -6.49

---

! AgRu2Rh, relaxed, DFT PBE; values from VASP
&SYSTEM
  ibrav = 0, nat = 12, ntyp = 3
/
ATOMIC_SPECIES
Ag 107.87 Ag.upf
Ru 101.07 Ru.upf
Rh 102.91 Rh.upf
CELL_PARAMETERS angstrom
2.7336 0.0000 0.0000
-1.3668 2.3673 0.0000
0.0000 0.0000 27.6240
ATOMIC_POSITIONS crystal
Ag 0.0000 0.0000 0.0000
Ag 0.3333 0.6667 0.6667
Ag 0.6667 0.3333 0.3333
Ru 0.0000 0.0000 0.2450
Ru 0.0000 0.0000 0.7550
Ru 0.3333 0.6667 0.4216
Ru 0.3333 0.6667 0.9117
Ru 0.6667 0.3333 0.0883
Ru 0.6667 0.3333 0.5784
Rh 0.0000 0.0000 0.5000
Rh 0.3333 0.6667 0.1667
Rh 0.6667 0.3333 0.8333
! - calculated volume (Å³/cell) = 178.76
! - energy of formation from the pure elements (meV per atom) = 303
! - polymorph energy (0 for the lowest one) (eV/atom) = 0.086
! - E (eV/atom) = -6.89

---

! AgRu2Rh2, relaxed, DFT PBE; values from VASP
&SYSTEM
  ibrav = 0, nat = 10, ntyp = 3
/
ATOMIC_SPECIES
Ag 107.87 Ag.upf
Ru 101.07 Ru.upf
Rh 102.91 Rh.upf
CELL_PARAMETERS angstrom
7.5293 0.0000 0.0000
0.0000 7.5293 0.0000
0.0000 0.0000 2.7428
ATOMIC_POSITIONS crystal
Ag 0.0000 0.0000 0.0000
Ag 0.5000 0.5000 0.0000
Ru 0.1188 0.3812 0.0000
Ru 0.3812 0.8812 0.0000
Ru 0.6188 0.1188 0.0000
Ru 0.8812 0.6188 0.0000
Rh 0.1745 0.6745 0.5000
Rh 0.3255 0.1745 0.5000
Rh 0.6745 0.8255 0.5000
Rh 0.8255 0.3255 0.5000
! - calculated volume (Å³/cell) = 155.49
! - energy of formation from the pure elements (meV per atom) = 322
! - polymorph energy (0 for the lowest one) (eV/atom) = 0.000
! - E (eV/atom) = -6.90